The following is a DFT calculation (GGA-PBE) of Tl4CdI2 after structural relaxation.

Lattice parameters (Å, degrees): 10.0562 10.0562 10.0562 147.42 147.42 46.74
Last column: nearest neighbours and their distance in Å.
Atoms (fractional coordinates):
Tl: 0.0000 0.5000 0.5000  2 Cd 2.82
Tl: 0.1730 0.1730 0.0000  1 Cd 3.19, 1 I 3.45
Tl: 0.5000 0.0000 0.5000  2 Cd 2.82
Tl: 0.8270 0.8270 0.0000  1 Cd 3.19, 1 I 3.45
Cd: 0.0000 0.0000 0.0000  4 Tl 2.82
I: 0.3601 0.3601 0.0000  5 Tl 3.45-3.82
I: 0.6399 0.6399 0.0000  5 Tl 3.45-3.82

SG ... I4/mmm
Total DFT energy (no corrections) ... -14.40 eV for the cell shown
Crystal system ... tetragonal